# 1
First-principles (GGA-PBE) data for HoTmSnCl2 after structural relaxation, as listed in OQMD.

Results
As for the crystal system: trigonal. As for the electronic total energy: -4.785 eV/atom. As for the space-group type: P3m1.

a = 4.1356 Å, b = 4.1356 Å, c = 9.8548 Å
α = 90.00°, β = 90.00°, γ = 120.00°
Last column: nearest neighbours and their distance in Å.
Positions (direct):
Ho1 0.0000 0.0000 0.0000  3 Cl 2.82, 3 Sn 2.99
Tm1 0.3333 0.6667 0.6371  3 Cl 2.81, 3 Sn 2.97
Sn1 0.6667 0.3333 0.8169  3 Tm 2.97, 3 Ho 2.99
Cl1 0.0000 0.0000 0.4872  3 Tm 2.81
Cl2 0.3333 0.6667 0.1525  3 Ho 2.82

***

# 2
First-principles (GGA-PBE) data for Sr2HoCl after structural relaxation, as listed in OQMD.

Results
As for the crystal system: tetragonal. As for the electronic total energy: -2.726 eV/atom. As for the space-group type: P4/mmm.

a = 3.6182 Å, b = 3.6182 Å, c = 11.2892 Å
α = 90.00°, β = 90.00°, γ = 90.00°
Last column: nearest neighbours and their distance in Å.
Positions (direct):
Sr1 0.0000 0.0000 0.1882  4 Cl 3.33, 1 Ho 3.52, 4 Sr 3.62
Sr2 0.0000 0.0000 0.8118  4 Cl 3.33, 1 Ho 3.52, 4 Sr 3.62
Ho1 0.0000 0.0000 0.5000  2 Sr 3.52, 4 Ho 3.62
Cl1 0.5000 0.5000 0.0000  8 Sr 3.33, 4 Cl 3.62

***

# 3
First-principles (GGA-PBE) data for HoTe2Cl2 after structural relaxation, as listed in OQMD.

Results
As for the crystal system: monoclinic. As for the electronic total energy: -4.309 eV/atom. As for the space-group type: C2/m.

a = 7.9229 Å, b = 7.9229 Å, c = 7.1677 Å
α = 96.64°, β = 96.64°, γ = 127.40°
Last column: nearest neighbours and their distance in Å.
Positions (direct):
Ho1 0.1749 0.8251 0.0000  4 Cl 2.63-2.68
Ho2 0.8251 0.1749 0.0000  4 Cl 2.63-2.68
Te1 0.0959 0.0959 0.3438  2 Te 2.79-2.90
Te2 0.2629 0.2629 0.9380  1 Te 2.79
Te3 0.7371 0.7371 0.0620  1 Te 2.79
Te4 0.9041 0.9041 0.6562  2 Te 2.79-2.90
Cl1 0.0933 0.5717 0.2419  2 Ho 2.63-2.68
Cl2 0.4283 0.9067 0.7581  2 Ho 2.63-2.68
Cl3 0.5717 0.0933 0.2419  2 Ho 2.63-2.68
Cl4 0.9067 0.4283 0.7581  2 Ho 2.63-2.68

***

# 4
First-principles (GGA-PBE) data for HoTmCl6 after structural relaxation, as listed in OQMD.

Results
As for the crystal system: monoclinic. As for the electronic total energy: -4.795 eV/atom. As for the space-group type: C2.

a = 6.7776 Å, b = 11.7690 Å, c = 6.4371 Å
α = 90.00°, β = 110.75°, γ = 90.00°
Last column: nearest neighbours and their distance in Å.
Positions (direct):
Ho1 0.0000 0.0000 0.0000  6 Cl 2.63-2.64
Ho2 0.5000 0.5000 0.0000  6 Cl 2.63-2.64
Tm1 0.0000 0.3311 0.0000  6 Cl 2.60-2.61
Tm2 0.5000 0.8311 0.0000  6 Cl 2.60-2.61
Cl1 0.2219 0.1670 0.2440  1 Tm 2.60, 1 Ho 2.63
Cl2 0.2390 0.3439 0.7601  1 Tm 2.61, 1 Ho 2.64
Cl3 0.2432 0.9855 0.7596  1 Tm 2.61, 1 Ho 2.64
Cl4 0.2568 0.4855 0.2404  1 Tm 2.61, 1 Ho 2.64
Cl5 0.2610 0.8439 0.2399  1 Tm 2.61, 1 Ho 2.64
Cl6 0.2781 0.6670 0.7560  1 Tm 2.60, 1 Ho 2.63
Cl7 0.7219 0.6670 0.2440  1 Tm 2.60, 1 Ho 2.63
Cl8 0.7390 0.8439 0.7601  1 Tm 2.61, 1 Ho 2.64
Cl9 0.7432 0.4855 0.7596  1 Tm 2.61, 1 Ho 2.64
Cl10 0.7568 0.9855 0.2404  1 Tm 2.61, 1 Ho 2.64
Cl11 0.7610 0.3439 0.2399  1 Tm 2.61, 1 Ho 2.64
Cl12 0.7781 0.1670 0.7560  1 Tm 2.60, 1 Ho 2.63

***

> Which formula does entry 4 have?

HoTmCl6